1.
{
  "formula": "La3Tb8Pm4",
  "functional": "PBE",
  "state": "optimized geometry",
  "lattice": [[-5.9693, -3.3133, 0.6280], [5.9965, -4.7317, -5.4479], [5.7377, -1.8712, 7.1836]],
  "species": ["La", "La", "La", "Tb", "Tb", "Tb", "Tb", "Tb", "Tb", "Tb", "Tb", "Pm", "Pm", "Pm", "Pm"],
  "fractional_positions": [[0.5000, 0.5000, 0.0000], [0.5000, 0.0000, 0.5000], [0.5000, 0.5000, 0.5000], [0.5267, 0.2668, 0.2668], [0.0000, 0.6419, 0.3581], [0.0024, 0.2665, 0.2665], [0.5000, 0.7423, 0.2577], [0.5000, 0.2577, 0.7423], [0.9976, 0.7335, 0.7335], [0.0000, 0.3581, 0.6419], [0.4733, 0.7332, 0.7332], [0.5000, 0.0000, 0.0000], [0.0000, 0.5000, 0.0000], [0.0000, 0.0000, 0.0000], [0.0000, 0.0000, 0.5000]],
  "n_ef_per_ev_cell": 29.85,
  "delta_e_f_ev_per_atom": 0.351,
  "vol_a3_per_atom": 34.7
}

2.
{
  "formula": "PuZr2Rh",
  "functional": "PBE",
  "state": "optimized geometry",
  "lattice": [[3.2850, 0.0000, 0.0000], [0.0000, 3.2850, 0.0000], [0.0000, 0.0000, 7.6873]],
  "species": ["Rh", "Zr", "Zr", "Pu"],
  "fractional_positions": [[0.5000, 0.5000, 0.0000], [0.0000, 0.0000, 0.7842], [0.0000, 0.0000, 0.2158], [0.5000, 0.5000, 0.5000]],
  "n_ef_per_ev_cell": 5.74,
  "relative_energy_mev_per_atom": 0.0,
  "delta_e_f_ev_per_atom": -0.315,
  "vol_a3_per_atom": 20.7
}

3.
{
  "formula": "MnCd2Ag",
  "functional": "PBE",
  "state": "optimized geometry",
  "lattice": [[4.1889, 0.0000, 0.0000], [0.0000, 4.2471, 0.0000], [0.0000, 0.0000, 4.2471]],
  "species": ["Ag", "Cd", "Cd", "Mn"],
  "fractional_positions": [[0.5000, 0.0000, 0.5000], [0.0000, 0.0000, 0.0000], [0.0000, 0.5000, 0.5000], [0.5000, 0.5000, 0.0000]],
  "n_ef_per_ev_cell": 1.78,
  "delta_e_f_ev_per_atom": 0.158,
  "vol_a3_per_atom": 18.9
}

4.
{
  "formula": "PmRe3Si2",
  "functional": "PBE",
  "state": "optimized geometry",
  "lattice": [[4.1716, 0.0000, 0.0000], [-2.0858, 7.5463, -0.0221], [0.0000, -3.4662, 6.7020]],
  "species": ["Pm", "Pm", "Re", "Re", "Re", "Re", "Re", "Re", "Si", "Si", "Si", "Si"],
  "fractional_positions": [[0.8561, 0.7122, 0.9395], [0.1439, 0.2878, 0.0605], [0.2994, 0.5989, 0.5320], [0.9519, 0.9038, 0.6071], [0.5880, 0.1759, 0.6554], [0.4120, 0.8241, 0.3446], [0.0481, 0.0962, 0.3929], [0.7006, 0.4011, 0.4680], [0.4782, 0.9564, 0.8200], [0.5218, 0.0436, 0.1800], [0.8048, 0.6096, 0.2794], [0.1952, 0.3904, 0.7206]],
  "raw_formation_energy_ev_per_atom": -0.37,
  "n_ef_per_ev_cell": 7.41,
  "relative_energy_mev_per_atom": 0.0,
  "vol_a3_per_atom": 17.6
}

5.
{
  "formula": "NdSm2Y4Er2",
  "functional": "PBE",
  "state": "optimized geometry",
  "lattice": [[3.6163, 0.0000, 0.0000], [-1.8081, 9.3604, -0.4660], [0.0000, -3.7304, 8.8496]],
  "species": ["Nd", "Sm", "Sm", "Y", "Y", "Y", "Y", "Er", "Er"],
  "fractional_positions": [[0.0000, 0.0000, 0.0000], [0.8516, 0.7031, 0.3324], [0.1484, 0.2969, 0.6676], [0.8145, 0.6290, 0.6665], [0.1855, 0.3710, 0.3335], [0.5190, 0.0380, 0.3340], [0.4810, 0.9620, 0.6660], [0.3321, 0.6642, 0.9988], [0.6679, 0.3358, 0.0012]],
  "n_ef_per_ev_cell": 12.43,
  "delta_e_f_ev_per_atom": 0.004,
  "vol_a3_per_atom": 32.6
}

6.
{
  "formula": "Mg2ScRh",
  "functional": "PBE",
  "state": "optimized geometry",
  "lattice": [[-3.5732, 3.0283, -0.3012], [-1.5621, -1.4700, 4.1747], [4.4109, 1.5458, -0.4284]],
  "species": ["Mg", "Mg", "Rh", "Sc"],
  "fractional_positions": [[0.0000, 0.0000, 0.0000], [0.2500, 0.7500, 0.5000], [0.5000, 0.5000, 0.0000], [0.7500, 0.2500, 0.5000]],
  "n_ef_per_ev_cell": 3.88,
  "delta_e_f_ev_per_atom": -0.376,
  "vol_a3_per_atom": 18.3
}

7.
{
  "formula": "SrCa4Pt2",
  "functional": "PBE",
  "state": "optimized geometry",
  "lattice": [[-5.3320, 3.8937, -0.2236], [-4.0400, -5.8201, -5.0117], [-1.2253, -1.2288, 7.8209]],
  "species": ["Sr", "Sr", "Ca", "Ca", "Ca", "Ca", "Ca", "Ca", "Ca", "Ca", "Pt", "Pt", "Pt", "Pt"],
  "fractional_positions": [[0.2500, 0.8406, 0.0021], [0.7500, 0.1594, 0.9979], [0.5003, 0.4249, 0.7556], [0.2500, 0.2737, 0.3353], [0.7500, 0.7263, 0.6647], [0.9997, 0.4249, 0.7556], [0.7500, 0.0167, 0.3752], [0.0003, 0.5751, 0.2444], [0.4997, 0.5751, 0.2444], [0.2500, 0.9833, 0.6248], [0.2500, 0.2837, 0.9759], [0.7500, 0.7163, 0.0241], [0.7500, 0.3684, 0.4101], [0.2500, 0.6316, 0.5899]],
  "n_ef_per_ev_cell": 6.18,
  "delta_e_f_ev_per_atom": -0.641,
  "vol_a3_per_atom": 30.2
}

8.
{
  "formula": "PmZn2Pd2",
  "functional": "PBE",
  "state": "optimized geometry",
  "lattice": [[3.9924, 0.0000, 0.0000], [0.0000, 3.9924, 0.0000], [-1.9962, -1.9962, 6.0103]],
  "species": ["Pm", "Zn", "Zn", "Pd", "Pd"],
  "fractional_positions": [[0.0000, 0.0000, 0.0000], [0.7500, 0.2500, 0.5000], [0.2500, 0.7500, 0.5000], [0.6123, 0.6123, 0.2246], [0.3877, 0.3877, 0.7754]],
  "n_ef_per_ev_cell": 2.02,
  "relative_energy_mev_per_atom": 0.0,
  "delta_e_f_ev_per_atom": -0.616,
  "vol_a3_per_atom": 19.2
}

9.
{
  "formula": "SrPrCo",
  "functional": "PBE",
  "state": "optimized geometry",
  "lattice": [[-1.1534, -3.7180, 1.0569], [2.7006, -1.5833, -2.6228], [6.9768, 0.6691, 9.9665]],
  "species": ["Sr", "Sr", "Pr", "Pr", "Co", "Co"],
  "fractional_positions": [[0.8468, 0.8111, 0.0444], [0.3468, 0.1784, 0.7790], [0.3469, 0.4299, 0.2817], [0.8469, 0.5600, 0.5419], [0.3469, 0.0178, 0.4573], [0.8469, 0.9723, 0.3664]],
  "n_ef_per_ev_cell": 6.69,
  "relative_energy_mev_per_atom": 0.0,
  "delta_e_f_ev_per_atom": 0.006,
  "vol_a3_per_atom": 33.0
}

10.
{
  "formula": "Pm5ThCd4",
  "functional": "PBE",
  "state": "optimized geometry",
  "lattice": [[-0.6974, 2.9813, 2.2060], [-3.5708, 0.0667, -1.2190], [-5.4122, -12.4913, 15.1701]],
  "species": ["Pm", "Pm", "Pm", "Pm", "Pm", "Th", "Cd", "Cd", "Cd", "Cd"],
  "fractional_positions": [[0.5000, 0.5000, 0.1139], [0.5000, 0.5000, 0.3095], [0.5000, 0.5000, 0.5000], [0.5000, 0.5000, 0.6905], [0.5000, 0.5000, 0.8861], [0.0000, 0.0000, 0.0000], [0.0000, 0.0000, 0.2117], [0.0000, 0.0000, 0.4054], [0.0000, 0.0000, 0.5946], [0.0000, 0.0000, 0.7883]],
  "n_ef_per_ev_cell": 12.10,
  "delta_e_f_ev_per_atom": -0.248,
  "vol_a3_per_atom": 29.0
}